Record 1
## SmCrGeO5 (meta-GGA SCAN)

Data for SmCrGeO5 at its PBEsol-relaxed geometry.

The raw formation energy comes out at -2766 meV/atom. The density comes out at 6.56 g/cm³.

The structure belongs to space group Pbam (No. 55); the cell edges are 7.3639, 8.4756 and 5.7577 Å and the angles 90.00°, 90.00° and 90.00°. The inequivalent atoms are Sm at (0.1407, 0.1744, 0.0000), Cr at (0.0000, 0.5000, 0.2508), Ge at (0.1148, 0.8557, 0.5000), O at (0.0000, 0.0000, 0.2893), O at (0.1047, 0.7164, 0.2535), O at (0.1592, 0.4258, 0.5000) and O at (0.1668, 0.4468, 0.0000).

=====

Record 2
## TbCrGeO5 (meta-GGA SCAN)

Data for TbCrGeO5 at its PBEsol-relaxed geometry.

The raw formation energy comes out at -2781 meV/atom. The density comes out at 6.90 g/cm³.

The structure belongs to space group Pbam (No. 55); the cell edges are 7.2747, 8.4037 and 5.7265 Å and the angles 90.00°, 90.00° and 90.00°. The inequivalent atoms are Tb at (0.1408, 0.1741, 0.0000), Cr at (0.0000, 0.5000, 0.2494), Ge at (0.1145, 0.8546, 0.5000), O at (0.0000, 0.0000, 0.2867), O at (0.1073, 0.7161, 0.2496), O at (0.1573, 0.4235, 0.5000) and O at (0.1698, 0.4448, 0.0000).